A PBEsol-optimized structure of Re2MoRu, computed with meta-GGA SCAN.

Calculated values
Energy of formation, eV/atom: 0.122
Excess energy over the best structure of this formula in the dataset, eV/atom: 0.037
Total magnetization, μB per formula unit: 0.00
DFT total energy, eV per atom: -52.855

Cell lengths 2.7128, 2.7128, 7.8870 Å; angles 90.00, 90.00, 90.00 degrees
Positions (direct):
Mo: 0.5000 0.5000 0.5000
Re: 0.0000 0.0000 0.7612
Re: 0.0000 0.0000 0.2388
Ru: 0.5000 0.5000 0.0000

---

A PBEsol-optimized structure of ReMoRu2, computed with meta-GGA SCAN.

Calculated values
Energy of formation, eV/atom: 0.096
Excess energy over the best structure of this formula in the dataset, eV/atom: 0.072
Total magnetization, μB per formula unit: 0.00
DFT total energy, eV per atom: -43.813

Cell lengths 2.7240, 3.8032, 5.4820 Å; angles 90.00, 90.00, 90.00 degrees
Positions (direct):
Mo: 0.0000 0.0000 0.4907
Re: 0.5000 0.5000 0.7664
Ru: 0.0000 0.0000 0.9926
Ru: 0.5000 0.5000 0.2504

---

A PBEsol-optimized structure of ReMoRu2, computed with meta-GGA SCAN.

Calculated values
Energy of formation, eV/atom: 0.027
Excess energy over the best structure of this formula in the dataset, eV/atom: 0.003
Total magnetization, μB per formula unit: 0.00
DFT total energy, eV per atom: -43.881

Cell lengths 2.7159, 4.6901, 4.6901 Å; angles 109.19, 90.00, 90.00 degrees
Positions (direct):
Re: 0.5000 0.0000 0.0000
Mo: 0.5000 0.5000 0.5000
Ru: 0.0000 0.0000 0.5000
Ru: 0.0000 0.5000 0.0000

---

A PBEsol-optimized structure of ReMoRu2, computed with meta-GGA SCAN.

Calculated values
Energy of formation, eV/atom: 0.024
Excess energy over the best structure of this formula in the dataset, eV/atom: 0.000
Total magnetization, μB per formula unit: 0.00
DFT total energy, eV per atom: -43.885

Cell lengths 3.8247, 3.8424, 3.8424 Å; angles 90.00, 90.00, 90.00 degrees
Positions (direct):
Re: 0.5000 0.0000 0.0000
Mo: 0.5000 0.5000 0.5000
Ru: 0.0000 0.0000 0.5000
Ru: 0.0000 0.5000 0.0000

---

Among the records above, which one has the lowest DFT total energy? Re2MoRu

---

What is the energy of formation in the second record? 0.096 eV/atom

---

DFT total energy of number 1 (Re2MoRu)? -52.855 eV per atom